[1]
Computed, not measured: ZnBrCl2 at its PBEsol-relaxed geometry at the meta-GGA SCAN level of DFT.

Cell lengths 10.2052, 10.2052, 10.2052 Å; angles 19.02, 19.02, 19.02 degrees
Last column: nearest neighbours and their distance in Å.
Element x y z (fractional)
Zn 0.0000 0.0000 0.0000  6 Cl 2.41
Br 0.5000 0.5000 0.5000  6 Br 3.37
Cl 0.2859 0.2859 0.2859  3 Zn 2.41
Cl 0.7141 0.7141 0.7141  3 Zn 2.41

Properties
Total DFT energy (no corrections), eV per atom: -12.943
Polymorph energy (0 for the lowest one), meV per atom: 0
Formation energy (no corrections), eV/f.u.: -2.842
Space group: No. 166

---

[2]
Computed, not measured: CoBr2 at its PBEsol-relaxed geometry at the meta-GGA SCAN level of DFT.

Cell lengths 9.3235, 3.4891, 9.8494 Å; angles 90.00, 90.00, 90.00 degrees
Last column: nearest neighbours and their distance in Å.
Element x y z (fractional)
Co 0.1279 0.2500 0.0277  5 Br 2.37-2.51
Co 0.3721 0.7500 0.5277  5 Br 2.37-2.51
Co 0.6279 0.2500 0.4723  5 Br 2.37-2.51
Co 0.8721 0.7500 0.9723  5 Br 2.37-2.51
Br 0.0110 0.7500 0.1741  3 Co 2.37-2.51
Br 0.1987 0.2500 0.4783  2 Co 2.43
Br 0.3013 0.7500 0.9783  2 Co 2.43
Br 0.4890 0.2500 0.6741  3 Co 2.37-2.51
Br 0.5110 0.7500 0.3259  3 Co 2.37-2.51
Br 0.6987 0.2500 0.0217  2 Co 2.43
Br 0.8013 0.7500 0.5217  2 Co 2.43
Br 0.9890 0.2500 0.8259  3 Co 2.37-2.51

Properties
Total DFT energy (no corrections), eV per atom: -19.196
Formation energy (no corrections), eV/f.u.: -1.364
Space group: No. 62

---

[3]
Computed, not measured: CoBr2 at its PBEsol-relaxed geometry at the meta-GGA SCAN level of DFT.

Cell lengths 6.6251, 6.6251, 7.2724 Å; angles 90.84, 90.84, 30.01 degrees
Last column: nearest neighbours and their distance in Å.
Element x y z (fractional)
Co 0.0000 0.0000 0.0000  4 Br 2.33-2.34
Co 0.6031 0.6031 0.3288  6 Br 2.46-2.65
Br 0.1721 0.1721 0.5400  2 Co 2.46
Br 0.1764 0.1764 0.0858  1 Co 2.33
Br 0.4367 0.4367 0.8111  2 Co 2.33
Br 0.9460 0.9460 0.3061  1 Co 2.34

Properties
Total DFT energy (no corrections), eV per atom: -19.198
Formation energy (no corrections), eV/f.u.: -1.371
Space group: No. 8

---

[4]
Computed, not measured: Co2Br at its PBEsol-relaxed geometry at the meta-GGA SCAN level of DFT.

Cell lengths 5.1559, 5.1559, 5.1559 Å; angles 125.89, 125.89, 80.06 degrees
Last column: nearest neighbours and their distance in Å.
Element x y z (fractional)
Co 0.1818 0.6818 0.8636  5 Co 2.41-2.43, 4 Br 2.62
Co 0.3182 0.1818 0.5000  5 Co 2.41-2.43, 4 Br 2.62
Co 0.6818 0.8182 0.5000  5 Co 2.41-2.43, 4 Br 2.62
Co 0.8182 0.3182 0.1364  5 Co 2.41-2.43, 4 Br 2.62
Br 0.2500 0.2500 0.0000  8 Co 2.62
Br 0.7500 0.7500 0.0000  8 Co 2.62

Properties
Total DFT energy (no corrections), eV per atom: -17.441
Polymorph energy (0 for the lowest one), meV per atom: 589
Formation energy (no corrections), eV/f.u.: 1.744
Space group: No. 140

---

[5]
Computed, not measured: Co2Br at its PBEsol-relaxed geometry at the meta-GGA SCAN level of DFT.

Cell lengths 5.7619, 5.7619, 6.2086 Å; angles 117.61, 117.61, 30.83 degrees
Last column: nearest neighbours and their distance in Å.
Element x y z (fractional)
Co 0.1656 0.1656 0.3680  5 Co 2.34-2.42
Co 0.2464 0.2464 0.8057  3 Co 2.34-2.42, 3 Br 2.38-2.54
Co 0.7536 0.7536 0.1943  3 Co 2.34-2.42, 3 Br 2.38-2.54
Co 0.8344 0.8344 0.6320  5 Co 2.34-2.42
Br 0.4396 0.4396 0.2058  3 Co 2.38-2.54
Br 0.5604 0.5604 0.7942  3 Co 2.38-2.54

Properties
Total DFT energy (no corrections), eV per atom: -17.525
Polymorph energy (0 for the lowest one), meV per atom: 505
Formation energy (no corrections), eV/f.u.: 1.494
Space group: No. 12

---

[6]
Computed, not measured: Co2Br at its PBEsol-relaxed geometry at the meta-GGA SCAN level of DFT.

Cell lengths 4.1041, 4.1041, 8.5174 Å; angles 102.37, 102.37, 47.60 degrees
Last column: nearest neighbours and their distance in Å.
Element x y z (fractional)
Co 0.0245 0.0245 0.3615  6 Co 2.29-2.47
Co 0.3380 0.3380 0.4380  8 Co 2.29-2.50
Co 0.6620 0.6620 0.5620  8 Co 2.29-2.50
Co 0.9755 0.9755 0.6385  6 Co 2.29-2.47
Br 0.3091 0.3091 0.8109  5 Co 2.59-2.71
Br 0.6909 0.6909 0.1891  5 Co 2.59-2.71

Properties
Total DFT energy (no corrections), eV per atom: -17.879
Polymorph energy (0 for the lowest one), meV per atom: 151
Formation energy (no corrections), eV/f.u.: 0.431
Space group: No. 12